A relaxed structure of Sr2LiEu. Source: Alexandria, functional PBE.

Summary:
DFT formation energy = 0.0354 eV/atom
V = 43.913 Å³ per atom
E above lowest polymorph = 0.0000 eV/atom
VASP energy = -3.853 eV per atom

Cell and atoms, written as POSCAR:
```
Sr2LiEu
1.0
-1.510 -0.645 -3.917
-3.696 -1.300 1.639
-3.320 9.150 -0.227
Eu Sr Li
1 2 1
direct
0.500 0.500 0.500
0.000 0.000 0.788
0.000 0.000 0.212
0.500 0.500 0.000
```

A relaxed structure of Pm2InBi. Source: Alexandria, functional PBE.

Summary:
DFT formation energy = -0.6786 eV/atom
V = 32.492 Å³ per atom
E above lowest polymorph = 0.0000 eV/atom
VASP energy = -4.709 eV per atom

Cell and atoms, written as POSCAR:
```
Pm2InBi
1.0
-2.909 -1.727 2.948
-0.113 -3.975 -2.441
9.505 -2.421 7.961
Pm In Bi
4 2 2
direct
0.750 0.681 0.363
0.250 0.319 0.637
0.750 0.938 0.875
0.250 0.062 0.125
0.250 0.459 0.918
0.750 0.541 0.082
0.250 0.189 0.378
0.750 0.811 0.622
```

A relaxed structure of NaTl2ReN. Source: Alexandria, functional PBE.

Summary:
Formation energy from raw total energies = 1376.2 meV/atom
V = 20.363 Å³ per atom
VASP energy = -3.989 eV per atom

Cell and atoms, written as POSCAR:
```
NaTl2ReN
1.0
4.822 0.000 0.000
0.000 4.379 0.000
0.000 0.000 4.822
Re Tl N Na
1 2 1 1
direct
0.500 0.500 0.500
0.000 0.000 0.500
0.500 0.000 0.000
0.000 0.000 0.000
0.000 0.500 0.000
```